(1)
Mg4Ga2Hg | GGA-PBE | optimized geometry

volume	456.2	Å³/cell
size of the total moment	0.0000	μB/atom
formation energy from the elements	-106	meV/atom
DOS(E_F)	7.3	states/eV per cell

Cell: 4.7217 4.7217 23.6288 Å, 90.00 90.00 120.00°
Space group R-3m (No. 166, hexagonal axes)
One atom of each set of equivalent atoms:
Mg: 0.0000 0.0000 0.1195 (multiplicity 6)
Mg: 0.0000 0.0000 0.3721 (multiplicity 6)
Ga: 0.0000 0.0000 0.2536 (multiplicity 6)
Hg: 0.0000 0.0000 0.5000 (multiplicity 3)

(2)
ZrTc2P | GGA-PBE | optimized geometry

volume	127.4	Å³/cell
size of the total moment	0.0000	μB/atom
formation energy from the elements	-243	meV/atom
DOS(E_F)	5.7	states/eV per cell

Cell: 3.677 3.677 9.422 Å, 90.00 90.00 90.00°
Space group I4/mmm (No. 139)
One atom of each set of equivalent atoms:
Zr: 0.000 0.000 0.000 (multiplicity 2)
Tc: 0.000 0.500 0.250 (multiplicity 4)
P: 0.000 0.000 0.500 (multiplicity 2)

(3)
TbNdPuN3 | GGA-PBE | optimized geometry

volume	233.5	Å³/cell
formation energy (no corrections)	-1.171	eV per atom
size of the total moment	0.8235	μB/atom
DOS(E_F)	15.2	states/eV per cell

Cell: 7.130 3.580 9.565 Å, 90.00 107.01 90.00°
Space group P2_1/m (No. 11)
One atom of each set of equivalent atoms:
Tb: 0.056 0.250 0.360 (multiplicity 2)
Nd: 0.413 0.750 0.628 (multiplicity 2)
Pu: 0.209 0.750 0.093 (multiplicity 2)
N: 0.041 0.250 0.111 (multiplicity 2)
N: 0.174 0.250 0.617 (multiplicity 2)
N: 0.311 0.750 0.358 (multiplicity 2)

(4)
NaYV2Rh | GGA-PBE | optimized geometry

volume	103.2	Å³/cell
size of the total moment	0.3038	μB/atom
formation energy from the elements	1967	meV/atom
DOS(E_F)	7.7	states/eV per cell

Cell: 4.595 4.595 4.890 Å, 90.00 90.00 90.00°
Space group P4/mmm (No. 123)
One atom of each set of equivalent atoms:
Na: 0.000 0.000 0.000 (multiplicity 1)
Y: 0.000 0.000 0.500 (multiplicity 1)
V: 0.000 0.500 0.500 (multiplicity 2)
Rh: 0.500 0.500 0.000 (multiplicity 1)